Material: BaLi2Pt
Method: DFT, PBE-GGA
State: relaxed

SG: R-3m, No. 166
Formation enthalpy at 0 K (eV per atom): -0.362
Calculated total energy (eV/cell): -13.2
ΔE to the lowest computed polymorph (meV/atom): 81
DOS at the Fermi energy (states/eV/cell): 1.35

Unit cell a=6.133 b=6.133 c=6.133 alpha=42.90 beta=42.90 gamma=42.90
Atoms (fractional coordinates):
Ba: 0.000 0.000 0.000
Li: 0.193 0.193 0.193
Li: 0.807 0.807 0.807
Pt: 0.500 0.500 0.500